# CrTePO2, optimized geometry, DFT GGA+U
data_CrTePO2
_chemical_formula_sum 'Cr1 Te1 P1 O2'
_cell_length_a 3.956
_cell_length_b 3.956
_cell_length_c 5.351
_cell_angle_alpha 90.00
_cell_angle_beta 90.00
_cell_angle_gamma 90.00
_space_group_name_H-M_alt 'P 4/m m m'
_space_group_IT_number 123
_space_group_name_Hall '-P 4 2'
loop_
_atom_site_label
_atom_site_type_symbol
_atom_site_fract_x
_atom_site_fract_y
_atom_site_fract_z
_atom_site_occupancy
Cr1 Cr 0.000 0.000 0.000 1
Te1 Te 0.500 0.500 0.500 1
P1 P 0.500 0.500 0.000 1
O1 O 0.000 0.500 0.500 1
# * density: 4.8 g/cm³
# * V: 84 Å³ per cell
# * E_tot: -5.395 eV/atom
# * DOS at the Fermi energy: 0.91 states/eV per cell